{
  "formula": "TaBeAs4",
  "functional": "PBE-GGA",
  "state": "relaxed",
  "lattice": [[0.0000, 3.7868, 3.7868], [3.7868, 0.0000, 3.7868], [3.7868, 3.7868, 0.0000]],
  "species": ["As", "As", "As", "As", "Ta", "Be"],
  "frac_coords": [[0.6257, 0.6257, 0.6257], [0.1229, 0.6257, 0.6257], [0.6257, 0.6257, 0.1229], [0.6257, 0.1229, 0.6257], [0.0000, 0.0000, 0.0000], [0.2500, 0.2500, 0.2500]],
  "space_group": "F-43m, No. 216",
  "formation_energy_ev_per_atom": 0.850
}

{
  "formula": "Mn3GeB",
  "functional": "PBE-GGA",
  "state": "relaxed",
  "lattice": [[3.8491, 0.0000, 0.0000], [0.0000, 3.8491, 0.0000], [0.0000, 0.0000, 3.8491]],
  "species": ["Mn", "Mn", "Mn", "Ge", "B"],
  "frac_coords": [[0.0000, 0.5000, 0.0000], [0.0000, 0.0000, 0.5000], [0.5000, 0.0000, 0.0000], [0.5000, 0.5000, 0.5000], [0.0000, 0.0000, 0.0000]],
  "space_group": "Pm-3m, No. 221",
  "formation_energy_ev_per_atom": 0.026
}

{
  "formula": "Dy12ErC7",
  "functional": "PBE-GGA",
  "state": "relaxed",
  "lattice": [[7.7578, -0.1713, -2.3645], [-3.1460, 7.0933, -2.3645], [-0.1141, -0.1713, 8.1093]],
  "species": ["Dy", "Dy", "Dy", "Dy", "Dy", "Dy", "Dy", "Dy", "Dy", "Dy", "Dy", "Dy", "C", "C", "C", "C", "C", "C", "C", "Er"],
  "frac_coords": [[0.2135, 0.0698, 0.6921], [0.8409, 0.6261, 0.5577], [0.9302, 0.3079, 0.7865], [0.6921, 0.2135, 0.0698], [0.1591, 0.3739, 0.4423], [0.3739, 0.4423, 0.1591], [0.4423, 0.1591, 0.3739], [0.5577, 0.8409, 0.6261], [0.0698, 0.6921, 0.2135], [0.7865, 0.9302, 0.3079], [0.6261, 0.5577, 0.8409], [0.3079, 0.7865, 0.9302], [0.9585, 0.6469, 0.8849], [0.5000, 0.5000, 0.5000], [0.8849, 0.9585, 0.6469], [0.0415, 0.3531, 0.1151], [0.1151, 0.0415, 0.3531], [0.6469, 0.8849, 0.9585], [0.3531, 0.1151, 0.0415], [0.0000, 0.0000, 0.0000]],
  "space_group": "R-3, No. 148",
  "formation_energy_ev_per_atom": -0.242
}

{
  "formula": "Y4Ho2Mg",
  "functional": "PBE-GGA",
  "state": "relaxed",
  "lattice": [[3.4733, 0.0000, 0.0000], [0.0000, 8.5611, 0.1693], [-1.7366, -3.9061, 7.3264]],
  "species": ["Ho", "Ho", "Y", "Y", "Y", "Y", "Mg"],
  "frac_coords": [[0.2200, 0.1412, 0.4400], [0.7800, 0.8588, 0.5600], [0.3657, 0.6012, 0.7314], [0.0801, 0.7024, 0.1602], [0.6343, 0.3988, 0.2686], [0.9199, 0.2976, 0.8398], [0.0000, 0.0000, 0.0000]],
  "space_group": "C2/m, No. 12",
  "formation_energy_ev_per_atom": 0.097
}

{
  "formula": "Cd2CuAu3",
  "functional": "PBE-GGA",
  "state": "relaxed",
  "lattice": [[4.5394, 0.0000, 0.0209], [2.2697, 6.8596, 0.0105], [-0.0310, 0.0000, 6.9770]],
  "species": ["Cu", "Cu", "Au", "Au", "Au", "Au", "Au", "Au", "Cd", "Cd", "Cd", "Cd"],
  "frac_coords": [[0.6546, 0.6908, 0.0000], [0.3454, 0.3092, 0.0000], [0.1786, 0.6429, 0.7818], [0.8215, 0.3571, 0.7818], [0.4997, 0.0000, 0.2448], [0.8214, 0.3571, 0.2182], [0.5003, 0.0000, 0.7552], [0.1785, 0.6429, 0.2182], [0.6663, 0.6673, 0.5000], [0.0000, 0.0000, 0.0000], [0.3337, 0.3327, 0.5000], [0.0000, 0.0000, 0.5000]],
  "space_group": "Cmmm, No. 65",
  "formation_energy_ev_per_atom": -0.118
}

{
  "formula": "Rb3NaO8",
  "functional": "PBE-GGA",
  "state": "relaxed",
  "lattice": [[-5.7772, -3.0667, 1.8833], [3.5574, -3.5710, -4.5818], [2.2395, -5.9670, 2.4032]],
  "species": ["O", "O", "O", "O", "O", "O", "O", "O", "Na", "Rb", "Rb", "Rb"],
  "frac_coords": [[0.3157, 0.0000, 0.1437], [0.0605, 0.0000, 0.6444], [0.1440, 0.4595, 0.8561], [0.9397, 0.2951, 0.0604], [0.3556, 0.0000, 0.9395], [0.8561, 0.0000, 0.6848], [0.6445, 0.7049, 0.3555], [0.6843, 0.5404, 0.3158], [0.9999, 0.0001, 0.9998], [0.7499, 0.5000, 0.7501], [0.2499, 0.5001, 0.2500], [0.5000, 0.0000, 0.5000]],
  "space_group": "I-42m, No. 121",
  "e_form_raw_kj_per_mol_atoms": -76.0
}

{
  "formula": "LaSn2Pd",
  "functional": "PBE-GGA",
  "state": "relaxed",
  "lattice": [[4.8147, 0.0000, 0.0000], [0.0000, 4.8147, 0.0000], [2.4074, 2.4074, 9.7797]],
  "species": ["La", "La", "Sn", "Sn", "Sn", "Sn", "Pd", "Pd"],
  "frac_coords": [[0.7500, 0.2500, 0.5000], [0.0000, 0.0000, 0.0000], [0.2125, 0.6250, 0.2500], [0.3750, 0.4625, 0.7500], [0.5375, 0.1250, 0.2500], [0.8750, 0.7875, 0.7500], [0.2500, 0.7500, 0.5000], [0.5000, 0.5000, 0.0000]],
  "space_group": "I-42d, No. 122",
  "formation_energy_ev_per_atom": -0.445
}

{
  "formula": "HfGa2Br",
  "functional": "PBE-GGA",
  "state": "relaxed",
  "lattice": [[0.0000, 3.5237, 3.5237], [3.5237, 0.0000, 3.5237], [3.5237, 3.5237, 0.0000]],
  "species": ["Br", "Hf", "Ga", "Ga"],
  "frac_coords": [[0.0000, 0.0000, 0.0000], [0.5000, 0.5000, 0.5000], [0.7500, 0.7500, 0.7500], [0.2500, 0.2500, 0.2500]],
  "space_group": "Fm-3m, No. 225",
  "e_form_raw_kj_per_mol_atoms": 32.9
}

{
  "formula": "K2LaP",
  "functional": "PBE-GGA",
  "state": "relaxed",
  "lattice": [[5.5733, 0.0000, 0.0000], [2.7866, 4.8266, 0.0000], [2.7866, 1.6089, 4.5506]],
  "species": ["P", "K", "K", "La"],
  "frac_coords": [[0.7500, 0.7500, 0.7500], [0.0000, 0.0000, 0.0000], [0.2500, 0.2500, 0.2500], [0.5000, 0.5000, 0.5000]],
  "space_group": "F-43m, No. 216",
  "formation_energy_ev_per_atom": 0.167
}

{
  "formula": "Sr2InGaRh",
  "functional": "PBE-GGA",
  "state": "relaxed",
  "lattice": [[-2.8126, 4.9960, 0.7376], [-4.5134, -2.1079, -2.9327], [-1.8931, -1.6735, 4.1162]],
  "species": ["Sr", "Sr", "In", "Ga", "Rh"],
  "frac_coords": [[0.0000, 0.5000, 0.0000], [0.5000, 0.0000, 0.0000], [0.5000, 0.5000, 0.5000], [0.0000, 0.0000, 0.5000], [0.0000, 0.0000, 0.0000]],
  "space_group": "P4/mmm, No. 123",
  "formation_energy_ev_per_atom": -0.278
}

{
  "formula": "Ca2HIrO6",
  "functional": "PBE-GGA",
  "state": "relaxed",
  "lattice": [[6.4094, 0.0000, 0.7174], [0.0000, 8.1791, 0.0000], [1.0032, 0.0000, 4.9350]],
  "species": ["O", "O", "O", "O", "O", "O", "O", "O", "O", "O", "O", "O", "Ca", "Ca", "Ca", "Ca", "H", "H", "Ir", "Ir"],
  "frac_coords": [[0.7831, 0.9405, 0.5141], [0.5398, 0.2139, 0.6147], [0.0398, 0.2861, 0.1147], [0.9602, 0.7139, 0.8853], [0.2169, 0.0595, 0.4859], [0.3880, 0.9244, 0.8913], [0.1120, 0.4244, 0.6087], [0.7169, 0.4405, 0.9859], [0.6120, 0.0756, 0.1087], [0.4602, 0.7861, 0.3853], [0.8880, 0.5756, 0.3913], [0.2831, 0.5595, 0.0141], [0.6188, 0.6821, 0.7797], [0.8812, 0.1821, 0.7203], [0.3812, 0.3179, 0.2203], [0.1188, 0.8179, 0.2797], [0.0000, 0.5000, 0.5000], [0.5000, 0.0000, 0.0000], [0.5000, 0.0000, 0.5000], [0.0000, 0.5000, 0.0000]],
  "space_group": "P2_1/c, No. 14",
  "total_energy_ev_per_atom": -6.21
}

{
  "formula": "Mg14MnNb",
  "functional": "PBE-GGA",
  "state": "relaxed",
  "lattice": [[3.0910, -5.4933, 0.0000], [3.0910, 5.4933, 0.0000], [0.0000, 0.0000, 10.1087]],
  "species": ["Mg", "Mg", "Mg", "Mg", "Mg", "Mg", "Mg", "Mg", "Mg", "Mg", "Mg", "Mg", "Mg", "Mg", "Mn", "Nb"],
  "frac_coords": [[0.6736, 0.3264, 0.7390], [0.6736, 0.3264, 0.2610], [0.1717, 0.8283, 0.7453], [0.1664, 0.3372, 0.7370], [0.1664, 0.3372, 0.2630], [0.6628, 0.8336, 0.7370], [0.3332, 0.6668, 0.0000], [0.8328, 0.6729, 0.5000], [0.8333, 0.1667, 0.0000], [0.3271, 0.1672, 0.5000], [0.3332, 0.1685, 0.0000], [0.6628, 0.8336, 0.2630], [0.8315, 0.6668, 0.0000], [0.1717, 0.8283, 0.2547], [0.8331, 0.1669, 0.5000], [0.3269, 0.6731, 0.5000]],
  "space_group": "Amm2, No. 38",
  "formation_energy_ev_per_atom": 0.106
}